(1)
{
  "formula": "TaGaCoRh",
  "functional": "PBE",
  "state": "relaxed",
  "crystal_system": "tetragonal",
  "relative_energy_mev_per_atom": 0.0,
  "magnetic_moment_mub_per_atom": 0.00,
  "lattice_angstrom": [[-3.749, 0.654, -1.145], [0.180, -3.165, -2.397], [0.609, -0.825, 4.430]],
  "species": ["Co", "Ta", "Rh", "Ga"],
  "frac_coords": [[0.250, 0.750, 0.500], [0.500, 0.500, 0.000], [0.750, 0.250, 0.500], [0.000, 0.000, 0.000]]
}

=====

(2)
{
  "formula": "PrTm2Zr",
  "functional": "PBE",
  "state": "relaxed",
  "crystal_system": "tetragonal",
  "relative_energy_mev_per_atom": 80.6,
  "magnetic_moment_mub_per_atom": 0.01,
  "lattice_angstrom": [[3.979, 0.000, 0.000], [0.000, 3.979, 0.000], [0.000, 0.000, 7.502]],
  "species": ["Pr", "Tm", "Zr", "Tm"],
  "frac_coords": [[0.500, 0.500, 0.500], [0.000, 0.000, 0.217], [0.500, 0.500, 0.000], [0.000, 0.000, 0.783]]
}

=====

(3)
{
  "formula": "Y3B2PtRh9",
  "functional": "PBE",
  "state": "relaxed",
  "e_tot_ev_per_atom": -7.496,
  "crystal_system": "trigonal",
  "magnetic_moment_mub_per_atom": 0.00,
  "lattice_angstrom": [[-1.637, 1.394, 5.316], [-3.878, -0.271, -4.216], [-1.385, -8.581, 1.825]],
  "species": ["Rh", "B", "Rh", "Y", "Rh", "Rh", "Pt", "Y", "B", "Rh", "Y", "Rh", "Rh", "Rh", "Rh"],
  "frac_coords": [[0.500, 0.500, 0.000], [0.333, 0.667, 0.145], [0.000, 0.500, 0.000], [0.333, 0.667, 0.624], [0.677, 0.839, 0.270], [0.839, 0.161, 0.730], [0.000, 0.000, 0.500], [0.667, 0.333, 0.376], [0.667, 0.333, 0.855], [0.839, 0.677, 0.730], [0.000, 0.000, 0.000], [0.323, 0.161, 0.730], [0.161, 0.839, 0.270], [0.500, 0.000, 0.000], [0.161, 0.323, 0.270]]
}

=====

(4)
{
  "formula": "La2CoGe2H4",
  "functional": "PBE",
  "state": "relaxed",
  "e_tot_ev_per_atom": -4.676,
  "crystal_system": "tetragonal",
  "magnetic_moment_mub_per_atom": 0.00,
  "lattice_angstrom": [[-0.502, 0.431, -5.544], [-2.717, -4.299, 2.303], [-2.348, 4.136, 2.925]],
  "species": ["La", "H", "Ge", "Co", "Ge", "H", "H", "La", "H"],
  "frac_coords": [[0.500, 0.250, 0.750], [0.000, 0.188, 0.812], [0.000, 0.667, 0.667], [0.000, 0.000, 0.000], [0.000, 0.333, 0.333], [0.625, 0.812, 0.812], [0.375, 0.188, 0.188], [0.500, 0.750, 0.250], [0.000, 0.812, 0.188]]
}

=====

(5)
{
  "formula": "Na3Zn2F8",
  "functional": "PBE",
  "state": "relaxed",
  "crystal_system": "monoclinic",
  "magnetic_moment_mub_per_atom": 0.08,
  "e_form_raw_ev_per_atom": -2.301,
  "lattice_angstrom": [[6.039, 0.198, 2.182], [1.674, 5.412, 3.276], [0.687, -0.088, 6.507]],
  "species": ["F", "Na", "F", "F", "F", "Zn", "F", "F", "F", "Na", "F", "Zn", "Na"],
  "frac_coords": [[0.199, 0.357, 0.890], [0.000, 0.251, 0.749], [0.158, 0.343, 0.343], [0.198, 0.841, 0.841], [0.802, 0.159, 0.159], [0.961, 0.262, 0.262], [0.199, 0.890, 0.357], [0.801, 0.110, 0.643], [0.801, 0.643, 0.110], [0.000, 0.749, 0.251], [0.842, 0.657, 0.657], [0.039, 0.738, 0.738], [0.500, 0.000, 0.000]]
}

=====

(6)
{
  "formula": "ReTeF",
  "functional": "PBE",
  "state": "relaxed",
  "crystal_system": "orthorhombic",
  "relative_energy_mev_per_atom": 325.1,
  "magnetic_moment_mub_per_atom": 0.00,
  "e_form_raw_ev_per_atom": -0.104,
  "lattice_angstrom": [[2.866, 0.000, 0.000], [0.000, 3.153, 0.000], [0.000, 0.000, 12.876]],
  "species": ["Te", "Re", "Re", "F", "Te", "F"],
  "frac_coords": [[0.000, 0.000, 0.543], [0.000, 0.500, 0.381], [0.500, 0.000, 0.881], [0.500, 0.500, 0.759], [0.500, 0.500, 0.043], [0.000, 0.000, 0.259]]
}